The following is a DFT calculation (SCAN) of a crystal of MgZr2Pt relaxed with PBEsol.

a b c (Å): 3.308 3.308 7.184
angles (deg): 90.00 90.00 90.00
Element x y z (fractional)
Mg  0.000  0.000  0.000
Zr  0.000  0.000  0.426
Zr  0.500  0.500  0.707
Pt  0.500  0.500  0.215

magnetization: 0.00 μB per atom
space group: P4mm, No. 99
electronic total energy: -34.789 eV per atom
calculated formation energy: -0.648 eV/atom